This record from Alexandria via LeMat-Bulk describes a geometry-optimized Cr3Ag3GeO8 structure. The functional is PBE with a Hubbard U. Values from VASP.

The structure in Quantum ESPRESSO input format:
```
&SYSTEM
  ibrav = 0, nat = 15, ntyp = 4
/
ATOMIC_SPECIES
Cr 52.00 Cr.upf
Ag 107.87 Ag.upf
Ge 72.64 Ge.upf
O 16.00 O.upf
ATOMIC_POSITIONS angstrom
Cr 0.000 0.000 0.000
Cr 2.602 1.517 0.000
Cr 2.602 -1.517 0.000
Ag -1.831 0.000 3.140
Ag 0.771 1.517 3.140
Ag 0.771 -1.517 3.140
Ge 5.204 0.000 0.000
O -1.928 0.000 5.270
O 0.712 1.488 5.264
O 6.034 1.488 1.017
O 3.574 0.000 0.943
O 3.172 0.000 5.338
O 0.712 -1.488 5.264
O 6.034 -1.488 1.017
O 8.674 0.000 1.011
CELL_PARAMETERS angstrom
5.204 -3.035 0.000
5.204 3.035 0.000
-3.662 0.000 6.281
```

Values from the calculation:
VASP energy ... -6.40 eV/atom
Size of the total moment ... 8.99 μB/f.u.